Entry 1:
# Na2Pb2Au | Alexandria via LeMat-Bulk | PBE | relaxed
# Spin magnetization   0.00 μB/cell
# Formation enthalpy at 0 K   -0.128 eV per atom
data_Na2Pb2Au
_chemical_formula_sum 'Na4 Pb4 Au2'
_space_group_name_H-M_alt 'P 4/m b m'
_space_group_IT_number 127
_space_group_name_Hall '-P 4 2ab'
_cell_length_a 7.497
_cell_length_b 7.497
_cell_length_c 5.095
_cell_angle_alpha 90.00
_cell_angle_beta 90.00
_cell_angle_gamma 90.00
loop_
_atom_site_label
_atom_site_fract_x
_atom_site_fract_y
_atom_site_fract_z
Na1 0.166 0.334 0.000
Pb1 0.145 0.645 0.500
Au1 0.000 0.000 0.500

=====

Entry 2:
# SiMo2 | Alexandria via LeMat-Bulk | PBE | relaxed
# Raw formation energy   0.41 eV/atom
# Spin magnetization   0.00 μB/cell
data_SiMo2
_chemical_formula_sum 'Si1 Mo2'
_space_group_name_H-M_alt 'P 6/m m m'
_space_group_IT_number 191
_space_group_name_Hall '-P 6 2'
_cell_length_a 4.5184
_cell_length_b 4.5184
_cell_length_c 2.6075
_cell_angle_alpha 90.00
_cell_angle_beta 90.00
_cell_angle_gamma 120.00
loop_
_atom_site_label
_atom_site_fract_x
_atom_site_fract_y
_atom_site_fract_z
Si1 0.0000 0.0000 0.0000
Mo1 0.3333 0.6667 0.5000